(1)
Density functional theory data (SCAN) for Na2BeSb at its PBEsol-relaxed geometry.

Cell and atoms, written as CIF:
```
data_Na2BeSb
_chemical_formula_sum 'Na8 Be4 Sb4'
_space_group_name_H-M_alt 'F m -3 m'
_space_group_IT_number 225
_space_group_name_Hall '-F 4 2 3'
_cell_length_a 7.0398
_cell_length_b 7.0398
_cell_length_c 7.0398
_cell_angle_alpha 90.00
_cell_angle_beta 90.00
_cell_angle_gamma 90.00
loop_
_atom_site_label
_atom_site_fract_x
_atom_site_fract_y
_atom_site_fract_z
_atom_site_occupancy
Na1 0.2500 0.2500 0.2500 1
Be1 0.0000 0.0000 0.0000 1
Sb1 0.0000 0.0000 0.5000 1
```

The density of states at the Fermi level comes out at 1.29 states/eV/f.u. For the total magnetic moment, the calculation gives 0.000 μB/atom. As for the raw total energy: -12.235 eV/atom. As for the crystal system: cubic. As for the formation energy without anion corrections: 276 meV per atom.

***

(2)
Density functional theory data (SCAN) for NaBeSb2Te at its PBEsol-relaxed geometry.

Cell and atoms, written as CIF:
```
data_NaBeSb2Te
_chemical_formula_sum 'Na1 Be1 Sb2 Te1'
_space_group_name_H-M_alt 'P 4/m m m'
_space_group_IT_number 123
_space_group_name_Hall '-P 4 2'
_cell_length_a 4.8664
_cell_length_b 4.8664
_cell_length_c 5.4349
_cell_angle_alpha 90.00
_cell_angle_beta 90.00
_cell_angle_gamma 90.00
loop_
_atom_site_label
_atom_site_fract_x
_atom_site_fract_y
_atom_site_fract_z
_atom_site_occupancy
Na1 0.0000 0.0000 0.0000 1
Be1 0.5000 0.5000 0.5000 1
Sb1 0.0000 0.5000 0.5000 1
Te1 0.5000 0.5000 0.0000 1
```

The density of states at the Fermi level comes out at 2.97 states/eV/f.u. For the total magnetic moment, the calculation gives 0.000 μB/atom. As for the raw total energy: -23.901 eV/atom. As for the crystal system: tetragonal. As for the formation energy without anion corrections: 167 meV per atom.